No. 1
This record from Alexandria via LeMat-Bulk describes an optimized crystal structure of CeGeBi2. The functional is PBE-GGA.

a b c (Å): 4.7236 4.7236 4.8235
angles (deg): 90.00 90.00 90.00
Last column: nearest neighbours and their distance in Å.
Space group P4/mmm (No. 123)
One atom of each set of equivalent atoms:
Ce  0.0000  0.0000  0.0000 x1  4 Ge 3.34, 8 Bi 3.38
Ge  0.5000  0.5000  0.0000 x1  4 Ce 3.34, 8 Bi 3.38
Bi  0.0000  0.5000  0.5000 x2  4 Bi 3.34, 4 Ge 3.38, 4 Ce 3.38

## Properties
V = 26.9 Å³ per atom
energy of formation = -0.4089 eV per atom
calculated density = 9.7 g/cm³
polymorph energy (0 for the lowest one) = 0 meV/atom

No. 2
This record from Alexandria via LeMat-Bulk describes an optimized crystal structure of Rb2TbPd3F12. The functional is PBE-GGA.

a b c (Å): 8.0620 8.0620 19.1274
angles (deg): 90.00 90.00 120.00
Last column: nearest neighbours and their distance in Å.
Space group R-3m (No. 166, hexagonal axes)
One atom of each set of equivalent atoms:
Rb  0.0000  0.0000  0.1784 x6  6 F 2.87-3.07
Tb  0.0000  0.0000  0.5000 x3  6 F 2.20
Pd  0.0000  0.5000  0.0000 x9  6 F 2.11-2.15
F  0.0584  0.5292  0.1102 x18  1 Pd 2.15, 1 Tb 2.20
F  0.0943  0.5472  0.3537 x18  2 Pd 2.11

## Properties
V = 19.9 Å³ per atom
E_form (uncorrected) = -211 kJ per mole of atoms
calculated density = 4.1 g/cm³

No. 3
This record from Alexandria via LeMat-Bulk describes an optimized crystal structure of Dy2BeCo2. The functional is PBE-GGA.

a b c (Å): 3.6943 5.5071 8.3106
angles (deg): 90.00 90.00 90.00
Last column: nearest neighbours and their distance in Å.
Space group Immm (No. 71)
One atom of each set of equivalent atoms:
Dy  0.0000  0.0000  0.1954 x4  6 Co 2.85, 2 Be 3.13
Be  0.0000  0.5000  0.0000 x2  4 Co 2.26
Co  0.0000  0.2367  0.5000 x4  2 Be 2.26

## Properties
V = 16.9 Å³ per atom
energy of formation = -0.2195 eV per atom
calculated density = 8.9 g/cm³
polymorph energy (0 for the lowest one) = 0 meV/atom

No. 4
This record from Alexandria via LeMat-Bulk describes an optimized crystal structure of TaNi5Pt4. The functional is PBE-GGA.

a b c (Å): 13.0959 3.6432 7.8326
angles (deg): 90.00 124.38 90.00
Last column: nearest neighbours and their distance in Å.
Space group C2/m (No. 12)
One atom of each set of equivalent atoms:
Ta  0.0000  0.0000  0.0000 x2  4 Ni 2.60, 6 Pt 2.69
Ni  0.0000  0.0000  0.5000 x2  6 Pt 2.55-2.70, 4 Ni 2.55
Ni  0.1657  0.5000  0.6588 x4  4 Pt 2.45-2.64, 4 Ni 2.53-2.55
Ni  0.1714  0.5000  0.1788 x4  2 Ni 2.53, 5 Pt 2.59-2.83, 2 Ta 2.60
Pt  0.0291  0.5000  0.7788 x4  4 Ni 2.45-2.70, 2 Ta 2.69
Pt  0.1607  0.0000  0.4140 x4  7 Ni 2.55-2.66, 4 Pt 2.65-2.75, 1 Ta 2.69

## Properties
V = 15.4 Å³ per atom
energy of formation = 0.0350 eV per atom
calculated density = 13.5 g/cm³